[1]
Computed, not measured: a PBEsol-optimized structure of Fe2MoBr at the SCAN level of DFT.

abc: 4.9380 8.0762 2.8386
angles: 90.00 90.00 90.00
Fractional positions:
Fe 0.2500 0.2500 0.0000
Fe 0.2500 0.7500 0.0000
Fe 0.7500 0.2500 0.0000
Fe 0.7500 0.7500 0.0000
Mo 0.0000 0.0000 0.5000
Mo 0.5000 0.5000 0.5000
Br 0.0000 0.5000 0.5000
Br 0.5000 0.0000 0.5000

Summary:
Density of states at the Fermi level in states/eV/f.u.: 4.1
Final energy in eV per atom: -21.8021
Formation energy from raw total energies in meV/atom: 849
Relative energy among the computed polymorphs in meV per atom: 0

=====

[2]
Computed, not measured: a PBEsol-optimized structure of AgTeMo3 at the SCAN level of DFT.

abc: 4.8200 4.8200 4.8200
angles: 90.00 90.00 90.00
Fractional positions:
Ag 0.0000 0.0000 0.0000
Te 0.5000 0.5000 0.5000
Mo 0.0000 0.5000 0.5000
Mo 0.5000 0.0000 0.5000
Mo 0.5000 0.5000 0.0000

Summary:
Density of states at the Fermi level in states/eV/f.u.: 8.0
Final energy in eV per atom: -32.5968
Formation energy from raw total energies in meV/atom: 2058

=====

[3]
Computed, not measured: a PBEsol-optimized structure of IrRu3 at the SCAN level of DFT.

abc: 2.6691 2.6691 7.5782
angles: 90.00 90.00 90.00
Fractional positions:
Ir 0.0000 0.0000 0.0000
Ru 0.0000 0.0000 0.5000
Ru 0.5000 0.5000 0.2524
Ru 0.5000 0.5000 0.7476

Summary:
Formation enthalpy at 0 K in eV per atom: 0.03
Density of states at the Fermi level in states/eV/f.u.: 3.3
Final energy in eV per atom: -43.8620

=====

[4]
Computed, not measured: a PBEsol-optimized structure of TlInPCl2 at the SCAN level of DFT.

abc: 5.4002 5.4002 5.1096
angles: 90.00 90.00 90.00
Fractional positions:
Tl 0.0000 0.0000 0.0000
In 0.5000 0.5000 0.5000
P 0.0000 0.0000 0.5000
Cl 0.0000 0.5000 0.0000
Cl 0.5000 0.0000 0.0000

Summary:
Density of states at the Fermi level in states/eV/f.u.: 2.1
Final energy in eV per atom: -26.4715
Formation energy from raw total energies in meV/atom: -52

=====

[5]
Computed, not measured: a PBEsol-optimized structure of Ba3ZrRe at the SCAN level of DFT.

abc: 5.7987 5.7987 5.7987
angles: 90.00 90.00 90.00
Fractional positions:
Ba 0.0000 0.0000 0.5000
Ba 0.0000 0.5000 0.0000
Ba 0.5000 0.0000 0.0000
Zr 0.5000 0.5000 0.5000
Re 0.0000 0.0000 0.0000

Summary:
Formation enthalpy at 0 K in eV per atom: 1.30
Density of states at the Fermi level in states/eV/f.u.: 8.8
Final energy in eV per atom: -42.7880

=====

[6]
Computed, not measured: a PBEsol-optimized structure of FeCu2Ir at the SCAN level of DFT.

abc: 2.6101 2.6101 24.8547
angles: 90.00 90.00 120.00
Fractional positions:
Fe 0.0000 0.0000 0.0000
Fe 0.3333 0.6667 0.6667
Fe 0.6667 0.3333 0.3333
Cu 0.0000 0.0000 0.2516
Cu 0.0000 0.0000 0.5043
Cu 0.3333 0.6667 0.1709
Cu 0.3333 0.6667 0.9182
Cu 0.6667 0.3333 0.5849
Cu 0.6667 0.3333 0.8376
Ir 0.0000 0.0000 0.7493
Ir 0.3333 0.6667 0.4160
Ir 0.6667 0.3333 0.0827

Summary:
Formation enthalpy at 0 K in eV per atom: 0.01
Density of states at the Fermi level in states/eV/f.u.: 2.5
Final energy in eV per atom: -29.8933
Relative energy among the computed polymorphs in meV per atom: 26

=====

Which value of density of states at the Fermi level does entry 3 give?
3.3 states/eV/f.u.

=====

Among the records above, which one has the lowest density of states at the Fermi level?
TlInPCl2

=====

Among the records above, which one has the lowest final energy?
IrRu3